No. 1
Here is a relaxed ErHf2Ir2 crystal from Alexandria via LeMat-Bulk. Energies are from PBE-GGA.

Geometry as POSCAR:
```
ErHf2Ir2
1.0
4.444 0.000 0.000
0.000 4.444 0.000
-2.222 -2.222 5.502
Hf Ir Er
2 2 1
Direct
0.250 0.750 0.500
0.750 0.250 0.500
0.616 0.616 0.232
0.384 0.384 0.768
0.000 0.000 0.000
```

Summary:
DOS at the Fermi energy (states/eV per cell): 4.31
Space-group type: I4/mmm
Energy of formation (meV per atom): -818

No. 2
Here is a relaxed GePRh2 crystal from Alexandria via LeMat-Bulk. Energies are from PBE-GGA.

Geometry as POSCAR:
```
GePRh2
1.0
5.418 0.000 0.000
0.000 5.418 0.000
2.709 2.709 5.285
Rh Ge P
4 2 2
Direct
0.375 0.403 0.750
0.153 0.625 0.250
0.875 0.847 0.750
0.597 0.125 0.250
0.000 0.000 0.000
0.750 0.250 0.500
0.500 0.500 0.000
0.250 0.750 0.500
```

Summary:
DOS at the Fermi energy (states/eV per cell): 3.83
Space-group type: I-42d
Energy of formation (meV per atom): -263

No. 3
Here is a relaxed CoAg2Br crystal from Alexandria via LeMat-Bulk. Energies are from PBE-GGA.

Geometry as POSCAR:
```
CoAg2Br
1.0
8.696 0.000 0.000
0.000 8.696 0.000
4.348 4.348 2.316
Br Co Ag
2 2 4
Direct
0.000 0.000 0.000
0.750 0.250 0.500
0.250 0.750 0.500
0.500 0.500 0.000
0.875 0.784 0.750
0.216 0.625 0.250
0.375 0.466 0.750
0.534 0.125 0.250
```

Summary:
ΔE_f (raw) (eV per formula unit): 2.46
DOS at the Fermi energy (states/eV per cell): 13.73
Excess energy over the best structure of this formula in the dataset (meV/atom): 339
Space-group type: I-42d

No. 4
Here is a relaxed Cs2CdCuP crystal from Alexandria via LeMat-Bulk. Energies are from PBE-GGA.

Geometry as POSCAR:
```
Cs2CdCuP
1.0
6.869 0.000 0.000
0.000 6.869 0.000
0.000 0.000 4.291
P Cd Cs Cu
1 1 2 1
Direct
0.000 0.000 0.500
0.500 0.500 0.500
0.000 0.500 0.000
0.500 0.000 0.000
0.000 0.000 0.000
```

Summary:
DOS at the Fermi energy (states/eV per cell): 2.54
Excess energy over the best structure of this formula in the dataset (meV/atom): 0
Space-group type: P4/mmm
Energy of formation (meV per atom): -63

The evaluated M_tot for the records listed, in turn: 0.00; 0.00; 0.42; 0.00 μB per atom.